# CoAg6O8 GGA+U relaxed
# calculated total energy	-0.312	Ry per atom
# crystal system	cubic
data_CoAg6O8
_chemical_formula_sum 'Co4 Ag24 O32'
_cell_length_a 9.0769
_cell_length_b 9.0769
_cell_length_c 9.0769
_cell_angle_alpha 90.00
_cell_angle_beta 90.00
_cell_angle_gamma 90.00
_symmetry_space_group_name_H-M 'F m -3 m'
_symmetry_Int_Tables_number 225
_symmetry_space_group_name_Hall '-F 4 2 3'
loop_
_atom_site_label
_atom_site_type_symbol
_atom_site_fract_x
_atom_site_fract_y
_atom_site_fract_z
Co1 Co 0.0000 0.0000 0.0000
Ag1 Ag 0.0000 0.2500 0.2500
O1 O 0.0000 0.0000 0.2109
O2 O 0.2500 0.2500 0.2500